1.
TmTh2Ni9 | PBE | relaxed

Cell lengths 4.972, 4.972, 16.667 Å; angles 90.00, 90.00, 120.00 degrees
Atoms (fractional coordinates):
Ni 0.000 0.000 0.500
Ni 0.334 0.167 0.629
Ni 0.833 0.666 0.871
Ni 0.167 0.334 0.371
Ni 0.667 0.333 0.750
Ni 0.333 0.667 0.250
Ni 0.167 0.334 0.129
Ni 0.000 0.000 0.750
Ni 0.666 0.833 0.129
Ni 0.000 0.000 0.250
Ni 0.334 0.167 0.871
Ni 0.833 0.167 0.871
Ni 0.167 0.833 0.371
Ni 0.167 0.833 0.129
Ni 0.833 0.167 0.629
Ni 0.000 0.000 0.000
Ni 0.666 0.833 0.371
Ni 0.833 0.666 0.629
Th 0.333 0.667 0.547
Th 0.667 0.333 0.453
Th 0.667 0.333 0.047
Th 0.333 0.667 0.953
Tm 0.667 0.333 0.250
Tm 0.333 0.667 0.750

Summary:
crystal system = hexagonal
DFT total energy = -152.5 eV per cell
SG = No. 194
energy of formation = -410 meV per atom
N(E_F) = 1.004 states/eV/atom
relative energy among the computed polymorphs = 2 meV per atom



2.
Tm2ThNi9 | PBE | relaxed

Cell lengths 4.968, 4.968, 8.608 Å; angles 73.23, 73.23, 60.00 degrees
Atoms (fractional coordinates):
Th 0.000 0.000 0.000
Tm 0.141 0.141 0.578
Tm 0.859 0.859 0.422
Ni 0.415 0.415 0.252
Ni 0.415 0.918 0.252
Ni 0.082 0.585 0.748
Ni 0.918 0.415 0.252
Ni 0.333 0.333 0.000
Ni 0.667 0.667 0.000
Ni 0.500 0.500 0.500
Ni 0.585 0.082 0.748
Ni 0.585 0.585 0.748

Summary:
crystal system = trigonal
DFT total energy = -74.1 eV per cell
SG = No. 166
energy of formation = -471 meV per atom
N(E_F) = 1.196 states/eV/atom



3.
TmThNi10 | PBE | relaxed

Cell lengths 3.979, 4.896, 8.467 Å; angles 90.00, 90.00, 90.00 degrees
Each line ends with the local moment (μB).
Atoms (fractional coordinates):
Ni 0.500 0.251 0.747  0.31
Ni 0.000 0.500 0.830  0.21
Ni 0.500 0.749 0.747  0.31
Ni 0.500 0.000 0.500  0.36
Ni 0.500 0.500 0.000  0.30
Ni 0.500 0.251 0.253  0.31
Ni 0.500 0.749 0.253  0.31
Ni 0.000 0.000 0.336  0.23
Ni 0.000 0.000 0.664  0.23
Ni 0.000 0.500 0.170  0.21
Tm 0.000 0.500 0.500  -0.07
Th 0.000 0.000 0.000  -0.07

Summary:
crystal system = orthorhombic
DFT total energy = -74.2 eV per cell
SG = No. 47
energy of formation = -371 meV per atom
N(E_F) = 1.085 states/eV/atom



4.
Tm2Th3Ni2 | PBE | relaxed

Cell lengths 3.690, 6.119, 8.993 Å; angles 68.97, 78.16, 72.45 degrees
Atoms (fractional coordinates):
Th 0.383 0.801 0.433
Th 0.500 0.000 0.000
Th 0.617 0.199 0.567
Ni 0.852 0.096 0.201
Ni 0.148 0.904 0.799
Tm 0.832 0.531 0.805
Tm 0.168 0.469 0.195

Summary:
crystal system = monoclinic
DFT total energy = -44.5 eV per cell
SG = No. 12
energy of formation = -255 meV per atom
N(E_F) = 0.972 states/eV/atom



Number 1: V 14.87 Å³ per atom. Number 2: V 14.45 Å³ per atom. Number 3: V 13.75 Å³ per atom. Number 4: V 25.66 Å³ per atom.